TlGeBi2P meta-GGA SCAN PBEsol geometry; calculated formation energy = 0.600 eV/atom
1.0
5.593 0.000 0.000
0.000 5.593 0.000
0.000 0.000 4.580
Tl Ge Bi P
1 1 2 1
Direct
0.000 0.000 0.000
0.500 0.500 0.500
0.000 0.500 0.500
0.500 0.000 0.500
0.500 0.500 0.000